A geometry-optimized Nd6MgAl3 structure. Source: the Alexandria database, functional PBE-GGA.

## Properties
Electronic total energy   -4.359 eV per atom
Space-group type   P2_1/m
Total magnetization   0.00 μB per atom
Calculated density   5.7 Mg/m³
Polymorph energy (0 for the lowest one)   0.0 kJ/mol of formula units

abc: 9.5692 5.2677 11.7422
angles: 90.00 107.37 90.00
Sites, in units of the cell vectors:
Nd 0.0454 0.2500 0.4141
Nd 0.1539 0.7500 0.1803
Nd 0.2290 0.2500 0.9967
Nd 0.3246 0.7500 0.7909
Nd 0.3760 0.2500 0.3486
Nd 0.3965 0.2500 0.6227
Nd 0.6035 0.7500 0.3773
Nd 0.6240 0.7500 0.6514
Nd 0.6754 0.2500 0.2091
Nd 0.7710 0.7500 0.0033
Nd 0.8461 0.2500 0.8197
Nd 0.9546 0.7500 0.5859
Mg 0.4613 0.7500 0.0864
Mg 0.5387 0.2500 0.9136
Al 0.0397 0.7500 0.8780
Al 0.1195 0.2500 0.7154
Al 0.2719 0.7500 0.4731
Al 0.7281 0.2500 0.5269
Al 0.8805 0.7500 0.2846
Al 0.9603 0.2500 0.1220